# 1
Here is a geometry-optimized Zr2PSe structure from Alexandria. Energies are from GGA-PBEsol.

Its formation energy (no corrections) is -5.50 eV per formula unit. For the total energy, the calculation gives -66.65 eV/cell.

It has space group Imm2 (No. 44), with a = 3.495 Å, b = 3.501 Å, c = 12.335 Å, α = 90.00°, β = 90.00° and γ = 90.00°. The asymmetric unit holds Zr at (0.000, 0.000, 0.000), Zr at (0.000, 0.500, 0.237), P at (0.000, 0.500, 0.658) and Se at (0.000, 0.000, 0.408).

---

# 2
Here is a geometry-optimized Sc2PtAu structure from Alexandria. Energies are from GGA-PBEsol.

For the total energy, the calculation gives -27.52 eV/cell.

It has space group P4mm (No. 99), with a = 3.688 Å, b = 3.688 Å, c = 5.659 Å, α = 90.00°, β = 90.00° and γ = 90.00°. The asymmetric unit holds Sc at (0.000, 0.000, 0.000), Sc at (0.500, 0.500, 0.362), Pt at (0.500, 0.500, 0.878) and Au at (0.000, 0.000, 0.517).

---

# 3
Here is a geometry-optimized EuAs structure from Alexandria. Energies are from GGA-PBEsol.

For the total energy, the calculation gives -108.28 eV/cell.

It has space group P-62m (No. 189), with a = 7.8180 Å, b = 7.8180 Å, c = 6.0401 Å, α = 90.00°, β = 90.00° and γ = 120.00°. The asymmetric unit holds Eu at (0.0000, 0.3408, 0.0000), Eu at (0.0000, 0.6740, 0.5000), As at (0.0000, 0.0000, 0.2328) and As at (0.3333, 0.6667, 0.2593).

---

# 4
Here is a geometry-optimized Li2ZnAs structure from Alexandria. Energies are from GGA-PBEsol.

For the total energy, the calculation gives -21.95 eV/cell.

It has space group Cm (No. 8), with a = 5.151 Å, b = 2.973 Å, c = 8.855 Å, α = 90.00°, β = 90.10° and γ = 90.00°. The asymmetric unit holds Li at (0.000, 0.000, 0.000), Li at (0.165, 0.500, 0.704), Zn at (0.497, 0.500, 0.476) and As at (0.166, 0.500, 0.229).

---

# 5
Here is a geometry-optimized ReSbI2F structure from Alexandria. Energies are from GGA-PBEsol.

Its formation energy (no corrections) is 4.74 eV per formula unit. For the total energy, the calculation gives -18.61 eV/cell.

It has space group P4/mmm (No. 123), with a = 5.583 Å, b = 5.583 Å, c = 4.200 Å, α = 90.00°, β = 90.00° and γ = 90.00°. The asymmetric unit holds Re at (0.000, 0.000, 0.000), Sb at (0.500, 0.500, 0.000), I at (0.000, 0.500, 0.500) and F at (0.500, 0.500, 0.500).

---

# 6
Here is a geometry-optimized Li2InPb structure from Alexandria. Energies are from GGA-PBEsol.

For the total energy, the calculation gives -12.09 eV/cell.

It has space group P4/mmm (No. 123), with a = 4.929 Å, b = 4.929 Å, c = 3.324 Å, α = 90.00°, β = 90.00° and γ = 90.00°. The asymmetric unit holds Li at (0.000, 0.500, 0.000), In at (0.000, 0.000, 0.500) and Pb at (0.500, 0.500, 0.500).

---

# 7
Here is a geometry-optimized LaHgAs2Se structure from Alexandria. Energies are from GGA-PBEsol.

Its formation energy (no corrections) is 2.10 eV per formula unit. For the total energy, the calculation gives -17.87 eV/cell.

It has space group P4/mmm (No. 123), with a = 5.681 Å, b = 5.681 Å, c = 5.585 Å, α = 90.00°, β = 90.00° and γ = 90.00°. The asymmetric unit holds La at (0.000, 0.000, 0.000), Hg at (0.500, 0.500, 0.500), As at (0.000, 0.500, 0.000) and Se at (0.000, 0.000, 0.500).

---

# 8
Here is a geometry-optimized KCo2Sb structure from Alexandria. Energies are from GGA-PBEsol.

Its formation energy (no corrections) is 2.35 eV per formula unit. For the total energy, the calculation gives -75.25 eV/cell.

It has space group I4_1/amd (No. 141, origin choice 2), with a = 4.788 Å, b = 4.788 Å, c = 17.228 Å, α = 90.00°, β = 90.00° and γ = 90.00°. The asymmetric unit holds K at (0.000, 0.250, 0.375), Co at (0.000, 0.000, 0.000) and Sb at (0.000, 0.250, 0.875).

---

# 9
Here is a geometry-optimized InTePd2 structure from Alexandria. Energies are from GGA-PBEsol.

Its formation energy (no corrections) is -1.06 eV per formula unit. For the total energy, the calculation gives -77.93 eV/cell.

It has space group Fm-3m (No. 225), with a = 6.664 Å, b = 6.664 Å, c = 6.664 Å, α = 90.00°, β = 90.00° and γ = 90.00°. The asymmetric unit holds In at (0.000, 0.000, 0.000), Te at (0.000, 0.000, 0.500) and Pd at (0.250, 0.250, 0.250).

---

# 10
Here is a geometry-optimized Sr4ZrZn structure from Alexandria. Energies are from GGA-PBEsol.

For the total energy, the calculation gives -51.04 eV/cell.

It has space group F-43m (No. 216), with a = 9.701 Å, b = 9.701 Å, c = 9.701 Å, α = 90.00°, β = 90.00° and γ = 90.00°. The asymmetric unit holds Sr at (0.124, 0.124, 0.124), Zr at (0.250, 0.250, 0.750) and Zn at (0.000, 0.000, 0.500).

---

# 11
Here is a geometry-optimized KLaMo structure from Alexandria. Energies are from GGA-PBEsol.

For the total energy, the calculation gives -30.12 eV/cell.

It has space group I4mm (No. 107), with a = 3.323 Å, b = 3.323 Å, c = 16.903 Å, α = 90.00°, β = 90.00° and γ = 90.00°. The asymmetric unit holds K at (0.000, 0.000, 0.000), La at (0.000, 0.000, 0.729) and Mo at (0.000, 0.000, 0.340).

---

# 12
Here is a geometry-optimized NbAuF3 structure from Alexandria. Energies are from GGA-PBEsol.

Its formation energy (no corrections) is -7.00 eV per formula unit. For the total energy, the calculation gives -27.53 eV/cell.

It has space group Pm-3m (No. 221), with a = 4.183 Å, b = 4.183 Å, c = 4.183 Å, α = 90.00°, β = 90.00° and γ = 90.00°. The asymmetric unit holds Nb at (0.000, 0.000, 0.000), Au at (0.500, 0.500, 0.500) and F at (0.000, 0.000, 0.500).